a:
The following is a PBE-GGA calculation of a relaxed Pr4Er7Tm crystal, from the Alexandria database.

Unit cell a=5.886 b=11.846 c=6.681 alpha=85.07 beta=63.87 gamma=75.61
Atoms (fractional coordinates):
Pr: 0.641 0.224 0.493
Pr: 0.359 0.776 0.507
Pr: 0.702 0.708 0.888
Pr: 0.298 0.292 0.112
Er: 0.793 0.918 0.497
Er: 0.207 0.082 0.503
Er: 0.034 0.631 0.301
Er: 0.966 0.369 0.699
Er: 0.355 0.513 0.778
Er: 0.500 0.000 0.000
Er: 0.645 0.487 0.222
Tm: 0.000 0.000 0.000

Summary:
calculated volume: 405 Å³/f.u.
space-group type: No. 12
N(E_F): 1.660 states/eV/atom

---

b:
The following is a PBE-GGA calculation of a relaxed Pr4Er7Tm crystal, from the Alexandria database.

Unit cell a=6.845 b=8.750 c=9.058 alpha=84.70 beta=95.39 gamma=47.84
Atoms (fractional coordinates):
Pr: 0.550 0.641 0.286
Pr: 0.450 0.359 0.714
Pr: 0.780 0.834 0.694
Pr: 0.220 0.166 0.306
Er: 0.736 0.510 0.953
Er: 0.264 0.490 0.047
Er: 0.979 0.320 0.645
Er: 0.021 0.680 0.355
Er: 0.290 0.815 0.621
Er: 0.500 0.000 0.000
Er: 0.710 0.185 0.379
Tm: 0.000 0.000 0.000

Summary:
calculated volume: 391 Å³/f.u.
space-group type: No. 2
N(E_F): 1.534 states/eV/atom

---

The calculated energies rank the structures as follows, beginning with the most stable: b, a.

---

a:
The following is a PBE-GGA calculation of a relaxed Pr2Er5Tm4 crystal, from the Alexandria database.

Unit cell a=3.455 b=11.422 c=10.912 alpha=121.56 beta=99.11 gamma=90.00
Atoms (fractional coordinates):
Pr: 0.203 0.203 0.407
Pr: 0.797 0.797 0.593
Er: 0.823 0.112 0.645
Er: 0.823 0.533 0.645
Er: 0.177 0.467 0.355
Er: 0.177 0.888 0.355
Er: 0.500 0.000 0.000
Tm: 0.000 0.277 0.000
Tm: 0.590 0.590 0.179
Tm: 0.000 0.723 0.000
Tm: 0.410 0.410 0.821

Summary:
calculated volume: 361 Å³/f.u.
space-group type: No. 71
N(E_F): 1.236 states/eV/atom

---

b:
The following is a PBE-GGA calculation of a relaxed Pr2Er5Tm4 crystal, from the Alexandria database.

Unit cell a=3.542 b=9.359 c=11.722 alpha=106.69 beta=81.33 gamma=112.29
Atoms (fractional coordinates):
Pr: 0.864 0.273 0.818
Pr: 0.136 0.727 0.182
Er: 0.956 0.093 0.274
Er: 0.044 0.907 0.726
Er: 0.589 0.817 0.456
Er: 0.500 0.000 0.000
Er: 0.411 0.183 0.544
Tm: 0.771 0.453 0.365
Tm: 0.313 0.360 0.094
Tm: 0.229 0.547 0.635
Tm: 0.687 0.640 0.906

Summary:
calculated volume: 344 Å³/f.u.
space-group type: No. 2
N(E_F): 1.377 states/eV/atom

---

The calculated energies rank the structures as follows, beginning with the most stable: b, a.

---

a:
The following is a PBE-GGA calculation of a relaxed Pr2Er12Tm5 crystal, from the Alexandria database.

Unit cell a=9.142 b=12.301 c=8.427 alpha=132.46 beta=90.00 gamma=111.81
Atoms (fractional coordinates):
Pr: 0.688 0.000 0.000
Pr: 0.312 0.000 0.000
Er: 0.096 0.193 0.310
Er: 0.023 0.682 0.929
Er: 0.660 0.682 0.929
Er: 0.182 0.748 0.396
Er: 0.566 0.748 0.396
Er: 0.557 0.114 0.787
Er: 0.443 0.886 0.213
Er: 0.818 0.252 0.604
Er: 0.434 0.252 0.604
Er: 0.977 0.318 0.071
Er: 0.340 0.318 0.071
Er: 0.904 0.807 0.690
Tm: 0.304 0.608 0.614
Tm: 0.233 0.467 0.888
Tm: 0.000 0.000 0.500
Tm: 0.767 0.533 0.112
Tm: 0.696 0.392 0.386

Summary:
calculated volume: 604 Å³/f.u.
space-group type: No. 12
N(E_F): 1.404 states/eV/atom

---

b:
The following is a PBE-GGA calculation of a relaxed Pr2Er12Tm5 crystal, from the Alexandria database.

Unit cell a=6.101 b=10.563 c=12.692 alpha=133.82 beta=94.68 gamma=84.48
Atoms (fractional coordinates):
Pr: 0.579 0.840 0.814
Pr: 0.421 0.160 0.186
Er: 0.948 0.104 0.291
Er: 0.105 0.786 0.920
Er: 0.632 0.734 0.026
Er: 0.210 0.582 0.343
Er: 0.684 0.633 0.237
Er: 0.527 0.949 0.604
Er: 0.473 0.051 0.396
Er: 0.790 0.418 0.657
Er: 0.316 0.367 0.763
Er: 0.895 0.214 0.080
Er: 0.368 0.266 0.974
Er: 0.052 0.896 0.709
Tm: 0.262 0.472 0.553
Tm: 0.158 0.683 0.132
Tm: 0.000 0.000 0.500
Tm: 0.842 0.317 0.868
Tm: 0.738 0.528 0.447

Summary:
calculated volume: 587 Å³/f.u.
space-group type: No. 2
N(E_F): 1.396 states/eV/atom

---

The calculated energies rank the structures as follows, beginning with the most stable: b, a.

---

a:
The following is a PBE-GGA calculation of a relaxed PrEr6Tm crystal, from the Alexandria database.

Unit cell a=6.504 b=6.502 c=7.558 alpha=65.00 beta=63.03 gamma=89.74
Atoms (fractional coordinates):
Pr: 0.000 0.000 0.000
Er: 0.089 0.763 0.473
Er: 0.555 0.732 0.536
Er: 0.445 0.268 0.464
Er: 0.911 0.237 0.527
Er: 0.502 0.747 0.999
Er: 0.498 0.253 0.001
Tm: 0.000 0.500 0.000

Summary:
calculated volume: 251 Å³/f.u.
space-group type: No. 2
N(E_F): 1.581 states/eV/atom

---

b:
The following is a PBE-GGA calculation of a relaxed PrEr6Tm crystal, from the Alexandria database.

Unit cell a=6.711 b=6.711 c=9.648 alpha=111.54 beta=111.54 gamma=120.13
Atoms (fractional coordinates):
Pr: 0.500 0.500 0.500
Er: 0.298 0.298 0.753
Er: 0.670 0.163 0.240
Er: 0.702 0.702 0.247
Er: 0.837 0.330 0.760
Er: 0.330 0.837 0.760
Er: 0.163 0.670 0.240
Tm: 0.000 0.000 0.000

Summary:
calculated volume: 254 Å³/f.u.
space-group type: No. 12
N(E_F): 2.024 states/eV/atom

---

The calculated energies rank the structures as follows, beginning with the most stable: a, b.

---

a:
The following is a PBE-GGA calculation of a relaxed Pr3ErTm4 crystal, from the Alexandria database.

Unit cell a=3.481 b=8.901 c=8.901 alpha=81.90 beta=78.72 gamma=78.72
Atoms (fractional coordinates):
Pr: 0.756 0.244 0.244
Pr: 0.244 0.756 0.756
Pr: 0.000 0.500 0.500
Tm: 0.635 0.109 0.621
Tm: 0.365 0.891 0.379
Tm: 0.365 0.379 0.891
Tm: 0.635 0.621 0.109
Er: 0.500 0.000 0.000

Summary:
calculated volume: 264 Å³/f.u.
space-group type: No. 71
N(E_F): 1.484 states/eV/atom

---

b:
The following is a PBE-GGA calculation of a relaxed Pr3ErTm4 crystal, from the Alexandria database.

Unit cell a=7.193 b=6.205 c=11.557 alpha=90.00 beta=90.00 gamma=90.00
Atoms (fractional coordinates):
Pr: 0.690 0.833 0.000
Pr: 0.189 0.505 0.247
Pr: 0.689 0.495 0.253
Pr: 0.190 0.167 0.500
Pr: 0.689 0.495 0.747
Pr: 0.189 0.505 0.753
Er: 0.941 0.333 0.000
Er: 0.441 0.667 0.500
Tm: 0.190 0.835 0.000
Tm: 0.438 0.333 0.000
Tm: 0.939 0.000 0.250
Tm: 0.439 0.000 0.250
Tm: 0.938 0.667 0.500
Tm: 0.690 0.165 0.500
Tm: 0.439 0.000 0.750
Tm: 0.939 0.000 0.750

Summary:
calculated volume: 258 Å³/f.u.
space-group type: No. 31
N(E_F): 1.256 states/eV/atom

---

The calculated energies rank the structures as follows, beginning with the most stable: b, a.

---

a:
The following is a PBE-GGA calculation of a relaxed Pr2Er2Tm3 crystal, from the Alexandria database.

Unit cell a=6.270 b=3.532 c=12.348 alpha=90.00 beta=59.94 gamma=90.00
Atoms (fractional coordinates):
Pr: 0.307 0.000 0.190
Pr: 0.693 0.000 0.810
Er: 0.275 0.500 0.728
Er: 0.725 0.500 0.272
Tm: 0.248 0.000 0.500
Tm: 0.000 0.000 0.000
Tm: 0.752 0.000 0.500

Summary:
calculated volume: 237 Å³/f.u.
space-group type: No. 10
N(E_F): 1.522 states/eV/atom

---

b:
The following is a PBE-GGA calculation of a relaxed Pr2Er2Tm3 crystal, from the Alexandria database.

Unit cell a=8.409 b=8.409 c=8.409 alpha=109.47 beta=109.47 gamma=109.47
Atoms (fractional coordinates):
Pr: 0.000 0.000 0.813
Pr: 0.500 0.813 0.500
Pr: 0.187 0.687 0.687
Pr: 0.313 0.500 0.000
Er: 0.000 0.000 0.414
Er: 0.500 0.414 0.500
Er: 0.586 0.086 0.086
Er: 0.914 0.500 0.000
Tm: 0.695 0.750 0.945
Tm: 0.805 0.250 0.555
Tm: 0.055 0.305 0.250
Tm: 0.445 0.195 0.750
Tm: 0.250 0.945 0.195
Tm: 0.750 0.555 0.305

Summary:
calculated volume: 229 Å³/f.u.
space-group type: No. 199
N(E_F): 1.414 states/eV/atom

---

The calculated energies rank the structures as follows, beginning with the most stable: a, b.